Compound: Nd7Ga2Rh2
Source: Alexandria via LeMat-Bulk
Functional: PBE
Structure: optimized geometry

```
Nd7Ga2Rh2
1.0
4.0024 -5.6270 0.0000
4.0024 5.6270 0.0000
0.0000 0.0000 7.1568
Nd Ga Rh
7 2 2
Cartesian
0.0000 0.0000 0.0000
2.0012 2.8135 1.8799
2.0012 2.8135 5.2769
2.0012 -2.8135 1.8799
2.0012 -2.8135 5.2769
4.0024 0.0000 1.8484
4.0024 0.0000 5.3084
1.2936 0.0000 3.5784
6.7112 0.0000 3.5784
4.0024 2.2958 0.0000
4.0024 -2.2958 0.0000
```

Calculated values
**Crystal system**: orthorhombic
**Symmetry**: Cmmm (65)
**Energy of formation from the pure elements**: -36 kJ per mole of atoms
**D(E_F)**: 10.01 states/eV per cell
**Calculated total energy**: -5.30 eV/atom